1.
The following is a PBE-GGA calculation of a relaxed structure of La8PN4, from Alexandria.

a b c (Å): 7.8276 7.8276 7.8276
angles (deg): 60.00 60.00 60.00
Last column: nearest neighbours and their distance in Å.
Atoms (fractional coordinates):
N 0.3723 0.8830 0.3723  6 La 2.58-2.63
N 0.8830 0.3723 0.3723  6 La 2.58-2.63
N 0.3723 0.3723 0.8830  6 La 2.58-2.63
N 0.3723 0.3723 0.3723  6 La 2.58-2.63
La 0.1750 0.6083 0.6083  3 N 2.63, 1 P 2.72
La 0.5790 0.1403 0.1403  3 N 2.58
La 0.6083 0.6083 0.1750  3 N 2.63, 1 P 2.72
La 0.6083 0.6083 0.6083  3 N 2.63, 1 P 2.72
La 0.1403 0.5790 0.1403  3 N 2.58
La 0.1403 0.1403 0.5790  3 N 2.58
La 0.6083 0.1750 0.6083  3 N 2.63, 1 P 2.72
La 0.1403 0.1403 0.1403  3 N 2.58
P 0.7500 0.7500 0.7500  4 La 2.72

Summary:
The value obtained for the uncorrected formation energy is -0.9084 eV/atom. The density of states at the Fermi level comes out at 0.537 states/eV/atom.

***

2.
The following is a PBE-GGA calculation of a relaxed structure of LaP2N2, from Alexandria.

a b c (Å): 4.0376 4.0376 5.3872
angles (deg): 67.99 67.99 90.00
Last column: nearest neighbours and their distance in Å.
Atoms (fractional coordinates):
P 0.2998 0.2998 0.4004  4 N 2.07
P 0.7002 0.7002 0.5996  4 N 2.07
N 0.7500 0.2500 0.5000  4 P 2.07
N 0.2500 0.7500 0.5000  4 P 2.07
La 0.0000 0.0000 0.0000  2 P 2.74, 8 N 3.05

Summary:
The value obtained for the uncorrected formation energy is 0.2266 eV/atom. The energy relative to the lowest polymorph listed for this composition is 147 meV per atom. The density of states at the Fermi level comes out at 0.523 states/eV/atom.

***

3.
The following is a PBE-GGA calculation of a relaxed structure of La2P2N5, from Alexandria.

a b c (Å): 3.6399 5.4203 6.1526
angles (deg): 99.76 90.00 109.62
Last column: nearest neighbours and their distance in Å.
Atoms (fractional coordinates):
N 0.1316 0.2632 0.6369  1 P 1.64
N 0.6778 0.3556 0.9764  3 P 1.76-1.88
N 0.3222 0.6444 0.0236  3 P 1.76-1.88
N 0.0000 0.0000 0.0000  2 P 1.75
N 0.8684 0.7368 0.3631  1 P 1.64
P 0.8479 0.6957 0.0927  3 N 1.64-1.76
P 0.1521 0.3043 0.9073  3 N 1.64-1.76
La 0.4057 0.8114 0.6773  3 N 2.43-2.63
La 0.5943 0.1886 0.3227  3 N 2.43-2.63

Summary:
The value obtained for the uncorrected formation energy is -0.6158 eV/atom. The density of states at the Fermi level comes out at 0.177 states/eV/atom.

***

4.
The following is a PBE-GGA calculation of a relaxed structure of LaP2N2, from Alexandria.

a b c (Å): 7.4949 7.4949 2.9492
angles (deg): 90.00 90.00 90.00
Last column: nearest neighbours and their distance in Å.
Atoms (fractional coordinates):
La 0.5000 0.5000 0.0000  4 P 2.89, 2 La 2.95, 8 N 3.04
La 0.0000 0.0000 0.0000  4 P 2.89, 2 La 2.95, 8 N 3.04
N 0.7626 0.7374 0.5000  2 P 1.79
N 0.2374 0.2626 0.5000  2 P 1.79
N 0.2626 0.7626 0.5000  2 P 1.79
N 0.7374 0.2374 0.5000  2 P 1.79
P 0.6423 0.1423 0.0000  2 N 1.79
P 0.8577 0.6423 0.0000  2 N 1.79
P 0.3577 0.8577 0.0000  2 N 1.79
P 0.1423 0.3577 0.0000  2 N 1.79

Summary:
The value obtained for the uncorrected formation energy is 0.0795 eV/atom. The energy relative to the lowest polymorph listed for this composition is 0 meV per atom. The density of states at the Fermi level comes out at 0.317 states/eV/atom.

***

5.
The following is a PBE-GGA calculation of a relaxed structure of La2PN, from Alexandria.

a b c (Å): 3.8746 3.8746 7.2693
angles (deg): 74.54 74.54 60.00
Last column: nearest neighbours and their distance in Å.
Atoms (fractional coordinates):
La 0.0934 0.0934 0.7197  3 N 2.66, 3 P 2.96
La 0.2434 0.2434 0.2698  3 N 2.79, 3 P 2.91, 1 La 3.11
P 0.6668 0.6668 0.9996  6 La 2.91-2.96
N 0.4963 0.4963 0.5110  6 La 2.66-2.79

Summary:
The value obtained for the uncorrected formation energy is -1.1526 eV/atom. The energy relative to the lowest polymorph listed for this composition is 218 meV per atom.

***

6.
The following is a PBE-GGA calculation of a relaxed structure of La6P2N, from Alexandria.

a b c (Å): 6.6308 7.7426 9.6347
angles (deg): 90.00 88.19 90.00
Last column: nearest neighbours and their distance in Å.
Atoms (fractional coordinates):
La 0.3571 0.5389 0.2433  1 N 2.52
La 0.1429 0.0389 0.2567  1 N 2.52
La 0.6391 0.2098 0.0589  1 N 2.50
La 0.1391 0.2902 0.5589  1 N 2.50
La 0.6609 0.1756 0.4514  1 N 2.68
La 0.3609 0.7902 0.9411  1 N 2.50
La 0.8609 0.7098 0.4411  1 N 2.50
La 0.1609 0.3244 0.9514  1 N 2.68
La 0.3391 0.8244 0.5486  1 N 2.68
La 0.8391 0.6756 0.0486  1 N 2.68
La 0.6429 0.4611 0.7567  1 N 2.52
La 0.8571 0.9611 0.7433  1 N 2.52
N 0.5000 0.5000 0.0000  6 La 2.50-2.68
N 0.0000 0.0000 0.5000  6 La 2.50-2.68
P 0.5645 0.8835 0.2520  7 La 3.00-3.22
P 0.4355 0.1165 0.7480  7 La 3.00-3.22
P 0.9355 0.3835 0.2480  7 La 3.00-3.22
P 0.0645 0.6165 0.7520  7 La 3.00-3.22

Summary:
The value obtained for the uncorrected formation energy is -0.9604 eV/atom. The density of states at the Fermi level comes out at 1.039 states/eV/atom.

***

7.
The following is a PBE-GGA calculation of a relaxed structure of La2PN, from Alexandria.

a b c (Å): 3.9833 3.9833 7.0247
angles (deg): 73.53 73.53 60.00
Last column: nearest neighbours and their distance in Å.
Atoms (fractional coordinates):
La 0.2402 0.2402 0.2795  3 N 2.73, 3 P 2.95
La 0.7598 0.7598 0.7205  3 N 2.73, 3 P 2.95
P 0.0000 0.0000 0.0000  6 La 2.95
N 0.5000 0.5000 0.5000  6 La 2.73

Summary:
The value obtained for the uncorrected formation energy is -1.3373 eV/atom. The energy relative to the lowest polymorph listed for this composition is 33 meV per atom. The density of states at the Fermi level comes out at 0.198 states/eV/atom.

***

8.
The following is a PBE-GGA calculation of a relaxed structure of La2P2N, from Alexandria.

a b c (Å): 5.8474 5.8474 5.3784
angles (deg): 57.07 57.07 90.00
Last column: nearest neighbours and their distance in Å.
Atoms (fractional coordinates):
La 0.2500 0.7500 0.5000  4 P 2.92
La 0.7500 0.2500 0.5000  4 P 2.92
P 0.2548 0.2548 0.4904  1 N 1.75
P 0.7452 0.7452 0.5096  1 N 1.75
N 0.0000 0.0000 0.0000  2 P 1.75

Summary:
The value obtained for the uncorrected formation energy is -0.3598 eV/atom. The energy relative to the lowest polymorph listed for this composition is 0 meV per atom. The density of states at the Fermi level comes out at 0.843 states/eV/atom.

***

9.
The following is a PBE-GGA calculation of a relaxed structure of La4PN2, from Alexandria.

a b c (Å): 3.9473 6.6298 12.5066
angles (deg): 90.00 90.00 107.32
Last column: nearest neighbours and their distance in Å.
Atoms (fractional coordinates):
La 0.7730 0.5459 0.3875  3 N 2.39-2.66
La 0.0723 0.1445 0.2500  2 N 2.56
La 0.7730 0.5459 0.1125  3 N 2.39-2.66
La 0.5000 0.0000 0.0000  4 N 2.77
La 0.9277 0.8555 0.7500  2 N 2.56
La 0.5000 0.0000 0.5000  4 N 2.77
La 0.2270 0.4541 0.8875  3 N 2.39-2.66
La 0.2270 0.4541 0.6125  3 N 2.39-2.66
N 0.8572 0.7145 0.9416  4 La 2.39-2.66
N 0.1428 0.2855 0.0584  4 La 2.39-2.66
N 0.1428 0.2855 0.4416  4 La 2.39-2.66
N 0.8572 0.7145 0.5584  4 La 2.39-2.66
P 0.5962 0.1923 0.7500  6 La 2.91-3.10
P 0.4038 0.8077 0.2500  6 La 2.91-3.10

Summary:
The value obtained for the uncorrected formation energy is -1.1969 eV/atom. The energy relative to the lowest polymorph listed for this composition is 0 meV per atom. The density of states at the Fermi level comes out at 0.658 states/eV/atom.

***

10.
The following is a PBE-GGA calculation of a relaxed structure of La2PN, from Alexandria.

a b c (Å): 5.9460 5.9778 11.0439
angles (deg): 91.93 90.00 90.00
Last column: nearest neighbours and their distance in Å.
Atoms (fractional coordinates):
La 0.2245 0.0072 0.1050  2 N 2.38-2.57
La 0.7755 0.5072 0.6050  2 N 2.38-2.57
La 0.2245 0.4928 0.3950  2 N 2.38-2.57
La 0.2341 0.5355 0.8552  2 N 2.37-2.61
La 0.2341 0.9645 0.6448  2 N 2.37-2.61
La 0.7755 0.9928 0.8950  2 N 2.38-2.57
La 0.7659 0.0355 0.3552  2 N 2.37-2.61
La 0.7659 0.4645 0.1448  2 N 2.37-2.61
N 0.1692 0.5740 0.6233  4 La 2.37-2.61
N 0.8308 0.4260 0.3767  4 La 2.37-2.61
N 0.1692 0.9260 0.8767  4 La 2.37-2.61
N 0.8308 0.0740 0.1233  4 La 2.37-2.61
P 0.2647 0.5081 0.1248  6 La 2.99-3.01
P 0.7353 0.4919 0.8752  6 La 2.99-3.01
P 0.7353 0.0081 0.6248  6 La 2.99-3.01
P 0.2647 0.9919 0.3752  6 La 2.99-3.01

Summary:
The value obtained for the uncorrected formation energy is -1.3707 eV/atom. The energy relative to the lowest polymorph listed for this composition is 0 meV per atom.

***

11.
The following is a PBE-GGA calculation of a relaxed structure of La2PN, from Alexandria.

a b c (Å): 6.9390 6.9390 6.3780
angles (deg): 57.04 57.04 90.00
Last column: nearest neighbours and their distance in Å.
Atoms (fractional coordinates):
La 0.1842 0.6250 0.2500  2 N 2.41
La 0.8750 0.8158 0.7500  2 N 2.41
La 0.3750 0.4342 0.7500  2 N 2.41
La 0.5658 0.1250 0.2500  2 N 2.41
N 0.2500 0.7500 0.5000  4 La 2.41
N 0.5000 0.5000 0.0000  4 La 2.41
P 0.7500 0.2500 0.5000  4 La 2.94
P 0.0000 0.0000 0.0000  4 La 2.94

Summary:
The value obtained for the uncorrected formation energy is -1.3091 eV/atom. The energy relative to the lowest polymorph listed for this composition is 62 meV per atom. The density of states at the Fermi level comes out at 0.000 states/eV/atom.

***

12.
The following is a PBE-GGA calculation of a relaxed structure of La4P2N, from Alexandria.

a b c (Å): 4.8332 4.8332 8.4706
angles (deg): 73.42 73.42 90.00
Last column: nearest neighbours and their distance in Å.
Atoms (fractional coordinates):
N 0.0000 0.0000 0.0000  6 La 2.42-2.67
La 0.0000 0.5000 0.0000  2 N 2.42
La 0.8277 0.8277 0.3445  1 N 2.67, 1 P 2.99
La 0.5000 0.0000 0.0000  2 N 2.42
La 0.1723 0.1723 0.6555  1 N 2.67, 1 P 2.99
P 0.3650 0.3650 0.2700  5 La 2.99-3.20
P 0.6350 0.6350 0.7300  5 La 2.99-3.20

Summary:
The value obtained for the uncorrected formation energy is -1.1023 eV/atom. The energy relative to the lowest polymorph listed for this composition is 0 meV per atom. The density of states at the Fermi level comes out at 0.992 states/eV/atom.

***

These records have E_tot values of -6.918 -6.253 -7.538 -6.400 -7.050 -6.373 -7.235 -6.160 -7.164 -7.268 -7.207 -6.653 eV/atom, in the order they appear.